A relaxed structure of Ir3Pb, computed with PBE-GGA.

Lattice parameters (Å, degrees): 2.9172 2.9172 8.1877 90.00 90.00 90.00
Closest atoms and distances in Å follow each position.
Positions (direct):
Ir 0.0000 0.0000 0.0000  12 Ir 2.70-2.92
Ir 0.5000 0.5000 0.2120  8 Ir 2.70-2.92
Ir 0.5000 0.5000 0.7880  8 Ir 2.70-2.92
Pb 0.0000 0.0000 0.5000  4 Pb 2.92, 8 Ir 3.13

As for the formation energy: 0.468 eV/atom. As for the density of states at the Fermi level: 0.7905 states/eV per atom. Its space group is No. 123. For the spin magnetization, the calculation gives 0.00 μB per cell.

***

A relaxed structure of Ca2NbTe, computed with PBE-GGA.

Lattice parameters (Å, degrees): 3.8243 3.8243 7.3780 90.00 90.00 90.00
Closest atoms and distances in Å follow each position.
Positions (direct):
Ca 0.0000 0.0000 0.2396  4 Te 3.23, 4 Nb 3.32, 1 Ca 3.54
Ca 0.0000 0.0000 0.7604  4 Te 3.23, 4 Nb 3.32, 1 Ca 3.54
Nb 0.5000 0.5000 0.5000  8 Ca 3.32, 2 Te 3.69
Te 0.5000 0.5000 0.0000  8 Ca 3.23

The value obtained for the formation energy without anion corrections is -0.051 eV per atom. As for the density of states at the Fermi level: 0.7608 states/eV per atom. Its space group is No. 123. For the spin magnetization, the calculation gives 0.00 μB per cell.

***

A relaxed structure of Os2BrCl, computed with PBE-GGA.

Lattice parameters (Å, degrees): 4.6978 4.6978 2.9620 90.00 90.00 102.44
Closest atoms and distances in Å follow each position.
Positions (direct):
Os 0.0000 0.5000 0.0000  4 Cl 2.78, 4 Br 2.78, 4 Os 2.94-2.96
Os 0.5000 0.0000 0.0000  4 Cl 2.78, 4 Br 2.78, 4 Os 2.94-2.96
Br 0.0000 0.0000 0.5000  8 Os 2.78, 2 Cl 2.94, 2 Br 2.96
Cl 0.5000 0.5000 0.5000  8 Os 2.78, 2 Br 2.94, 2 Cl 2.96

The value obtained for the formation energy without anion corrections is 1.859 eV per atom. The excess energy over the best structure of this formula in the dataset is 36.95 kcal/mol of atoms. As for the density of states at the Fermi level: 1.0215 states/eV per atom. Its space group is No. 65. For the spin magnetization, the calculation gives 0.00 μB per cell.

***

A relaxed structure of Sc2CdW, computed with PBE-GGA.

Lattice parameters (Å, degrees): 10.0960 10.0960 10.0960 17.60 17.60 17.60
Closest atoms and distances in Å follow each position.
Positions (direct):
Sc 0.2441 0.2441 0.2441  3 W 2.92, 6 Sc 3.09, 3 Cd 3.20
Sc 0.7559 0.7559 0.7559  3 W 2.92, 6 Sc 3.09, 3 Cd 3.20
Cd 0.0000 0.0000 0.0000  6 Cd 3.09, 6 Sc 3.20
W 0.5000 0.5000 0.5000  6 Sc 2.92, 6 W 3.09

As for the formation energy: 0.178 eV/atom. As for the density of states at the Fermi level: 1.2190 states/eV per atom. Its space group is No. 166. For the spin magnetization, the calculation gives 0.59 μB per cell.